This record from Alexandria via LeMat-Bulk describes a relaxed Na2Te2Au crystal. The functional is PBE.

Unit cell a=6.271 b=6.271 c=8.924 alpha=90.00 beta=90.00 gamma=90.00
Sites, in units of the cell vectors:
Na 0.000 0.500 0.250
Na 0.000 0.500 0.750
Na 0.500 0.000 0.250
Na 0.500 0.000 0.750
Te 0.000 0.000 0.210
Te 0.000 0.000 0.790
Te 0.500 0.500 0.290
Te 0.500 0.500 0.710
Au 0.000 0.000 0.500
Au 0.500 0.500 0.000

Values from the calculation:
Symmetry   I4/mmm
Formation energy from raw total energies   -0.4562 eV per atom
Excess energy over the best structure of this formula in the dataset   96 meV/atom